Computed, not measured: crystalline La2BeTc at its relaxed geometry at the GGA-PBE level of DFT.

Output
- calculated total energy (eV per atom) = -5.87
- total magnetic moment (μB per formula unit) = 0.0
- symmetry = Cm
- E_form (kJ/mol of formula units) = 44

Cell: 5.685 5.685 4.942 Å, 72.16 72.16 36.82°
Positions (direct):
Be  0.799  0.799  0.742
Tc  0.426  0.426  0.529
La  0.036  0.036  0.932
La  0.239  0.239  0.296

---

Computed, not measured: crystalline La2BeTc at its relaxed geometry at the GGA-PBE level of DFT.

Output
- calculated total energy (eV per atom) = -5.71
- total magnetic moment (μB per formula unit) = 0.0
- symmetry = P2/m
- E_form (kJ/mol of formula units) = 106

Cell: 3.619 3.602 7.970 Å, 63.33 90.00 90.00°
Positions (direct):
Be  0.500  0.750  0.750
Tc  0.500  0.250  0.250
La  0.000  0.996  0.006
La  0.000  0.504  0.494

---

Computed, not measured: crystalline LaBeTc2 at its relaxed geometry at the GGA-PBE level of DFT.

Output
- calculated total energy (eV per atom) = -6.92
- total magnetic moment (μB per formula unit) = 0.0
- symmetry = Immm
- E_form (kJ/mol of formula units) = 165

Cell: 5.078 5.078 5.078 Å, 143.60 119.30 72.88°
Positions (direct):
Be  0.750  0.250  0.500
Tc  0.963  0.963  0.000
Tc  0.537  0.537  0.000
La  0.250  0.750  0.500

---

Computed, not measured: crystalline La2Be2Tc at its relaxed geometry at the GGA-PBE level of DFT.

Output
- calculated total energy (eV per atom) = -5.12
- E above lowest polymorph (eV/f.u.) = 0.00
- total magnetic moment (μB per formula unit) = 0.0
- symmetry = I4/mmm
- E_form (kJ/mol of formula units) = 198

Cell: 3.294 3.294 9.834 Å, 80.36 80.36 90.00°
Positions (direct):
Be  0.750  0.250  0.500
Be  0.250  0.750  0.500
Tc  0.000  0.000  0.000
La  0.402  0.402  0.195
La  0.598  0.598  0.805

---

Computed, not measured: crystalline La2BeTc at its relaxed geometry at the GGA-PBE level of DFT.

Output
- calculated total energy (eV per atom) = -6.00
- total magnetic moment (μB per formula unit) = 0.0
- symmetry = P2_1/m
- E_form (kJ/mol of formula units) = -4

Cell: 7.399 3.630 7.976 Å, 90.00 115.10 90.00°
Positions (direct):
Be  0.102  0.250  0.539
Be  0.898  0.750  0.461
Tc  0.808  0.250  0.608
Tc  0.192  0.750  0.392
La  0.883  0.250  0.143
La  0.117  0.750  0.857
La  0.486  0.250  0.294
La  0.514  0.750  0.706

---

Computed, not measured: crystalline LaBeTc2 at its relaxed geometry at the GGA-PBE level of DFT.

Output
- calculated total energy (eV per atom) = -7.15
- total magnetic moment (μB per formula unit) = 0.0
- symmetry = Pm
- E_form (kJ/mol of formula units) = 74

Cell: 4.175 3.214 5.636 Å, 76.61 90.00 90.00°
Positions (direct):
Be  0.000  0.366  0.441
Tc  0.000  0.000  0.134
Tc  0.500  0.384  0.218
La  0.500  0.750  0.708

---

Computed, not measured: crystalline La2BeTc at its relaxed geometry at the GGA-PBE level of DFT.

Output
- calculated total energy (eV per atom) = -5.96
- total magnetic moment (μB per formula unit) = 0.0
- symmetry = P2_1/m
- E_form (kJ/mol of formula units) = 12

Cell: 6.580 3.549 7.810 Å, 90.00 90.14 90.00°
Positions (direct):
Be  0.569  0.250  0.456
Be  0.431  0.750  0.544
Tc  0.196  0.250  0.476
Tc  0.804  0.750  0.524
La  0.945  0.250  0.227
La  0.055  0.750  0.773
La  0.572  0.250  0.823
La  0.428  0.750  0.177

---

Computed, not measured: crystalline La2BeTc at its relaxed geometry at the GGA-PBE level of DFT.

Output
- calculated total energy (eV per atom) = -5.61
- total magnetic moment (μB per formula unit) = 0.0
- symmetry = F-43m
- E_form (kJ/mol of formula units) = 145

Cell: 4.878 4.878 4.878 Å, 60.00 60.00 60.00°
Positions (direct):
Be  0.500  0.500  0.500
Tc  0.250  0.250  0.250
La  0.000  0.000  0.000
La  0.750  0.750  0.750

---

Computed, not measured: crystalline LaBeTc2 at its relaxed geometry at the GGA-PBE level of DFT.

Output
- calculated total energy (eV per atom) = -6.82
- total magnetic moment (μB per formula unit) = 0.0
- symmetry = C2/m
- E_form (kJ/mol of formula units) = 204

Cell: 5.066 5.280 2.983 Å, 74.48 88.21 118.10°
Positions (direct):
Be  0.000  0.500  0.500
Tc  0.000  0.000  0.000
Tc  0.500  0.000  0.500
La  0.500  0.500  0.000

---

Computed, not measured: crystalline La2BeTc at its relaxed geometry at the GGA-PBE level of DFT.

Output
- calculated total energy (eV per atom) = -5.82
- total magnetic moment (μB per formula unit) = 0.0
- symmetry = Cm
- E_form (kJ/mol of formula units) = 64

Cell: 4.248 7.851 7.839 Å, 90.00 122.17 90.00°
Positions (direct):
Be  0.934  0.000  0.177
Be  0.934  0.500  0.677
Tc  0.307  0.000  0.046
Tc  0.307  0.500  0.546
La  0.541  0.267  0.292
La  0.541  0.733  0.292
La  0.541  0.767  0.792
La  0.541  0.233  0.792

---

Computed, not measured: crystalline La2BeTc at its relaxed geometry at the GGA-PBE level of DFT.

Output
- calculated total energy (eV per atom) = -5.79
- total magnetic moment (μB per formula unit) = 0.0
- symmetry = P1
- E_form (kJ/mol of formula units) = 77

Cell: 3.533 5.234 5.250 Å, 78.90 81.53 81.93°
Positions (direct):
Be  0.593  0.453  0.779
Tc  0.596  0.797  0.433
La  0.944  0.867  0.941
La  0.247  0.291  0.365

---

Computed, not measured: crystalline La2BeTc at its relaxed geometry at the GGA-PBE level of DFT.

Output
- calculated total energy (eV per atom) = -5.97
- total magnetic moment (μB per formula unit) = 0.0
- symmetry = Cmcm
- E_form (kJ/mol of formula units) = 6

Cell: 4.772 6.396 6.478 Å, 90.00 111.55 90.00°
Positions (direct):
Be  0.500  0.000  0.000
Be  0.500  0.500  0.000
Tc  0.632  0.250  0.263
Tc  0.368  0.750  0.737
La  0.236  0.250  0.472
La  0.764  0.750  0.528
La  0.939  0.250  0.878
La  0.061  0.750  0.122